1.
# CeTlBr (PBE, optimized geometry)
data_CeTlBr
_symmetry_space_group_name_H-M 'C 1 2/m 1'
_symmetry_Int_Tables_number 12
_cell_length_a 8.094
_cell_length_b 4.679
_cell_length_c 11.046
_cell_angle_alpha 90.00
_cell_angle_beta 91.77
_cell_angle_gamma 90.00
loop_
_symmetry_equiv_pos_as_xyz
'x,y,z'
'-x,-y,-z'
'-x,y,-z'
'x,-y,z'
'x+1/2,y+1/2,z'
'-x+1/2,-y+1/2,-z'
'-x+1/2,y+1/2,-z'
'x+1/2,-y+1/2,z'
loop_
_atom_site_label
_atom_site_type_symbol
_atom_site_fract_x
_atom_site_fract_y
_atom_site_fract_z
_atom_site_occupancy
Ce1 Ce 0.009 0.000 0.205 1
Tl1 Tl 0.164 0.500 0.946 1
Br1 Br 0.181 0.500 0.348 1
# formation energy from raw total energies = -2.60 eV per formula unit
# relative energy among the computed polymorphs = 0 meV/atom

2.
# TmMg3Tl2F12 (PBE, optimized geometry)
data_TmMg3Tl2F12
_symmetry_space_group_name_H-M 'R -3 m'
_symmetry_Int_Tables_number 166
_symmetry_space_group_name_Hall '-R 3 2"'
_cell_length_a 7.4205
_cell_length_b 7.4205
_cell_length_c 15.2993
_cell_angle_alpha 90.00
_cell_angle_beta 90.00
_cell_angle_gamma 120.00
loop_
_atom_site_label
_atom_site_type_symbol
_atom_site_fract_x
_atom_site_fract_y
_atom_site_fract_z
_atom_site_occupancy
Tm1 Tm 0.0000 0.0000 0.0000 1
Mg1 Mg 0.0000 0.5000 0.5000 1
Tl1 Tl 0.0000 0.0000 0.3939 1
F1 F 0.0404 0.5202 0.3710 1
F2 F 0.0980 0.5490 0.8001 1
# formation energy from raw total energies = -55.36 eV per formula unit

3.
# Pr3GePd3 (PBE, optimized geometry)
data_Pr3GePd3
_symmetry_space_group_name_H-M 'I m m 2'
_symmetry_Int_Tables_number 44
_cell_length_a 4.151
_cell_length_b 4.345
_cell_length_c 18.889
_cell_angle_alpha 90.00
_cell_angle_beta 90.00
_cell_angle_gamma 90.00
loop_
_symmetry_equiv_pos_as_xyz
'x,y,z'
'-x,-y,z'
'-x,y,z'
'x,-y,z'
'x+1/2,y+1/2,z+1/2'
'-x+1/2,-y+1/2,z+1/2'
'-x+1/2,y+1/2,z+1/2'
'x+1/2,-y+1/2,z+1/2'
loop_
_atom_site_label
_atom_site_type_symbol
_atom_site_fract_x
_atom_site_fract_y
_atom_site_fract_z
_atom_site_occupancy
Pr1 Pr 0.000 0.000 0.000 1
Pr2 Pr 0.000 0.000 0.366 1
Pr3 Pr 0.000 0.500 0.184 1
Ge1 Ge 0.000 0.500 0.749 1
Pd1 Pd 0.000 0.000 0.528 1
Pd2 Pd 0.000 0.000 0.827 1
Pd3 Pd 0.000 0.500 0.618 1
# energy of formation from the pure elements = -795 meV per atom

4.
# LiAc2Nd3Se6 (PBE, optimized geometry)
data_LiAc2Nd3Se6
_symmetry_space_group_name_H-M 'C 1 2/m 1'
_symmetry_Int_Tables_number 12
_cell_length_a 7.389
_cell_length_b 12.842
_cell_length_c 7.509
_cell_angle_alpha 90.00
_cell_angle_beta 109.37
_cell_angle_gamma 90.00
loop_
_symmetry_equiv_pos_as_xyz
'x,y,z'
'-x,-y,-z'
'-x,y,-z'
'x,-y,z'
'x+1/2,y+1/2,z'
'-x+1/2,-y+1/2,-z'
'-x+1/2,y+1/2,-z'
'x+1/2,-y+1/2,z'
loop_
_atom_site_label
_atom_site_type_symbol
_atom_site_fract_x
_atom_site_fract_y
_atom_site_fract_z
_atom_site_occupancy
Li1 Li 0.000 0.000 0.000 1
Ac1 Ac 0.000 0.335 0.000 1
Nd1 Nd 0.000 0.168 0.500 1
Nd2 Nd 0.000 0.500 0.500 1
Se1 Se 0.233 0.000 0.746 1
Se2 Se 0.243 0.159 0.254 1
# formation energy from raw total energies = -21.48 eV per formula unit

5.
# Dy8AgPd2 (PBE, optimized geometry)
data_Dy8AgPd2
_symmetry_space_group_name_H-M 'C 1 m 1'
_symmetry_Int_Tables_number 8
_cell_length_a 8.481
_cell_length_b 13.404
_cell_length_c 5.594
_cell_angle_alpha 90.00
_cell_angle_beta 106.62
_cell_angle_gamma 90.00
loop_
_symmetry_equiv_pos_as_xyz
'x,y,z'
'x,-y,z'
'x+1/2,y+1/2,z'
'x+1/2,-y+1/2,z'
loop_
_atom_site_label
_atom_site_type_symbol
_atom_site_fract_x
_atom_site_fract_y
_atom_site_fract_z
_atom_site_occupancy
Dy1 Dy 0.000 0.000 0.000 1
Dy2 Dy 0.090 0.376 0.780 1
Dy3 Dy 0.175 0.124 0.596 1
Dy4 Dy 0.265 0.500 0.376 1
Dy5 Dy 0.383 0.234 0.188 1
Ag1 Ag 0.382 0.000 0.191 1
Pd1 Pd 0.382 0.302 0.688 1
# energy of formation from the pure elements = -260 meV per atom
# relative energy among the computed polymorphs = 101 meV/atom

6.
# NaGa4Sn (PBE, optimized geometry)
data_NaGa4Sn
_symmetry_space_group_name_H-M 'F -4 3 m'
_symmetry_Int_Tables_number 216
_symmetry_space_group_name_Hall 'F -4 2 3'
_cell_length_a 8.042
_cell_length_b 8.042
_cell_length_c 8.042
_cell_angle_alpha 90.00
_cell_angle_beta 90.00
_cell_angle_gamma 90.00
loop_
_atom_site_label
_atom_site_type_symbol
_atom_site_fract_x
_atom_site_fract_y
_atom_site_fract_z
_atom_site_occupancy
Na1 Na 0.000 0.000 0.000 1
Ga1 Ga 0.126 0.126 0.626 1
Sn1 Sn 0.250 0.250 0.250 1
# energy of formation from the pure elements = -33 meV per atom
# relative energy among the computed polymorphs = 11 meV/atom

7.
# Tb3Ho2ScS6 (PBE, optimized geometry)
data_Tb3Ho2ScS6
_symmetry_space_group_name_H-M 'C 1 2/m 1'
_symmetry_Int_Tables_number 12
_cell_length_a 16.886
_cell_length_b 3.867
_cell_length_c 7.786
_cell_angle_alpha 90.00
_cell_angle_beta 103.58
_cell_angle_gamma 90.00
loop_
_symmetry_equiv_pos_as_xyz
'x,y,z'
'-x,-y,-z'
'-x,y,-z'
'x,-y,z'
'x+1/2,y+1/2,z'
'-x+1/2,-y+1/2,-z'
'-x+1/2,y+1/2,-z'
'x+1/2,-y+1/2,z'
loop_
_atom_site_label
_atom_site_type_symbol
_atom_site_fract_x
_atom_site_fract_y
_atom_site_fract_z
_atom_site_occupancy
Tb1 Tb 0.000 0.000 0.000 1
Tb2 Tb 0.168 0.500 0.335 1
Ho1 Ho 0.166 0.500 0.832 1
Sc1 Sc 0.000 0.000 0.500 1
S1 S 0.000 0.500 0.262 1
S2 S 0.162 0.000 0.583 1
S3 S 0.168 0.000 0.081 1
# formation energy from raw total energies = -23.60 eV per formula unit

8.
# Cr2FeC (PBE, optimized geometry)
data_Cr2FeC
_symmetry_space_group_name_H-M 'I -4 2 d'
_symmetry_Int_Tables_number 122
_symmetry_space_group_name_Hall 'I -4 2bw'
_cell_length_a 6.532
_cell_length_b 6.532
_cell_length_c 3.973
_cell_angle_alpha 90.00
_cell_angle_beta 90.00
_cell_angle_gamma 90.00
loop_
_atom_site_label
_atom_site_type_symbol
_atom_site_fract_x
_atom_site_fract_y
_atom_site_fract_z
_atom_site_occupancy
Cr1 Cr 0.146 0.250 0.125 1
Fe1 Fe 0.000 0.000 0.500 1
C1 C 0.000 0.000 0.000 1
# energy of formation from the pure elements = 308 meV per atom

9.
# Ni7Pd3 (PBE, optimized geometry)
data_Ni7Pd3
_symmetry_space_group_name_H-M 'C 1 2/m 1'
_symmetry_Int_Tables_number 12
_cell_length_a 13.248
_cell_length_b 3.663
_cell_length_c 5.211
_cell_angle_alpha 90.00
_cell_angle_beta 101.70
_cell_angle_gamma 90.00
loop_
_symmetry_equiv_pos_as_xyz
'x,y,z'
'-x,-y,-z'
'-x,y,-z'
'x,-y,z'
'x+1/2,y+1/2,z'
'-x+1/2,-y+1/2,-z'
'-x+1/2,y+1/2,-z'
'x+1/2,-y+1/2,z'
loop_
_atom_site_label
_atom_site_type_symbol
_atom_site_fract_x
_atom_site_fract_y
_atom_site_fract_z
_atom_site_occupancy
Ni1 Ni 0.000 0.000 0.000 1
Ni2 Ni 0.097 0.500 0.802 1
Ni3 Ni 0.100 0.500 0.304 1
Ni4 Ni 0.200 0.000 0.598 1
Pd1 Pd 0.000 0.000 0.500 1
Pd2 Pd 0.197 0.000 0.106 1
# energy of formation from the pure elements = 42 meV per atom

10.
# LaSbPtI2 (PBE, optimized geometry)
data_LaSbPtI2
_symmetry_space_group_name_H-M 'P 4/m m m'
_symmetry_Int_Tables_number 123
_symmetry_space_group_name_Hall '-P 4 2'
_cell_length_a 6.064
_cell_length_b 6.064
_cell_length_c 6.588
_cell_angle_alpha 90.00
_cell_angle_beta 90.00
_cell_angle_gamma 90.00
loop_
_atom_site_label
_atom_site_type_symbol
_atom_site_fract_x
_atom_site_fract_y
_atom_site_fract_z
_atom_site_occupancy
La1 La 0.000 0.000 0.000 1
Sb1 Sb 0.000 0.000 0.500 1
Pt1 Pt 0.500 0.500 0.500 1
I1 I 0.000 0.500 0.000 1
# formation energy from raw total energies = 2.03 eV per formula unit
# relative energy among the computed polymorphs = 732 meV/atom

11.
# LiTi2Sb2 (PBE, optimized geometry)
data_LiTi2Sb2
_symmetry_space_group_name_H-M 'P 4/m b m'
_symmetry_Int_Tables_number 127
_symmetry_space_group_name_Hall '-P 4 2ab'
_cell_length_a 7.541
_cell_length_b 7.541
_cell_length_c 3.583
_cell_angle_alpha 90.00
_cell_angle_beta 90.00
_cell_angle_gamma 90.00
loop_
_atom_site_label
_atom_site_type_symbol
_atom_site_fract_x
_atom_site_fract_y
_atom_site_fract_z
_atom_site_occupancy
Li1 Li 0.000 0.000 0.000 1
Ti1 Ti 0.136 0.364 0.500 1
Sb1 Sb 0.157 0.657 0.000 1
# formation energy from raw total energies = -1.92 eV per formula unit
# relative energy among the computed polymorphs = 0 meV/atom

12.
# Pu3TlPd (PBE, optimized geometry)
data_Pu3TlPd
_symmetry_space_group_name_H-M 'P m -3 m'
_symmetry_Int_Tables_number 221
_symmetry_space_group_name_Hall '-P 4 2 3'
_cell_length_a 7.248
_cell_length_b 7.248
_cell_length_c 7.248
_cell_angle_alpha 90.00
_cell_angle_beta 90.00
_cell_angle_gamma 90.00
loop_
_atom_site_label
_atom_site_type_symbol
_atom_site_fract_x
_atom_site_fract_y
_atom_site_fract_z
_atom_site_occupancy
Pu1 Pu 0.000 0.000 0.000 1
Pu2 Pu 0.276 0.276 0.276 1
Tl1 Tl 0.000 0.000 0.500 1
Pd1 Pd 0.000 0.500 0.500 1
# energy of formation from the pure elements = -42 meV per atom